A relaxed AcGa2Sn crystal, computed with GGA-PBE.

## Properties
The value obtained for the polymorph energy (0 for the lowest one) is 0.0689 eV/atom. The formation energy is -0.4109 eV per atom.

abc: 4.5336 4.8125 4.8125
angles: 90.00 90.00 90.00
Atoms (fractional coordinates):
Ga: 0.0000 0.5000 0.0000
Ga: 0.0000 0.0000 0.5000
Sn: 0.5000 0.5000 0.5000
Ac: 0.5000 0.0000 0.0000

***

A relaxed Tb12Sm3Sc crystal, computed with GGA-PBE.

## Properties
The formation energy is 0.0237 eV per atom.

abc: 5.0339 5.0339 20.0751
angles: 90.00 90.00 90.00
Atoms (fractional coordinates):
Tb: 0.5000 0.5000 0.7535
Tb: 0.5000 0.0000 0.6267
Tb: 0.5000 0.0000 0.3733
Tb: 0.5000 0.5000 0.2465
Tb: 0.0000 0.5000 0.1203
Tb: 0.0000 0.5000 0.6267
Tb: 0.5000 0.0000 0.8797
Tb: 0.0000 0.5000 0.3733
Tb: 0.5000 0.0000 0.1203
Tb: 0.5000 0.5000 0.0000
Tb: 0.5000 0.5000 0.5000
Tb: 0.0000 0.5000 0.8797
Sc: 0.0000 0.0000 0.0000
Sm: 0.0000 0.0000 0.7526
Sm: 0.0000 0.0000 0.5000
Sm: 0.0000 0.0000 0.2474

***

A relaxed In10CuAgS16 crystal, computed with GGA-PBE.

## Properties
The calculation puts the uncorrected formation energy at -0.526 eV/atom.

abc: 7.7077 7.7077 10.9364
angles: 90.00 90.00 90.00
Atoms (fractional coordinates):
S: 0.0000 0.2517 0.1228
S: 0.5000 0.2696 0.1169
S: 0.7659 0.5000 0.3626
S: 0.2330 0.0000 0.3858
S: 0.7483 0.0000 0.8772
S: 0.5000 0.7659 0.6374
S: 0.5000 0.7304 0.1169
S: 0.7670 0.0000 0.3858
S: 0.2517 0.0000 0.8772
S: 0.0000 0.7670 0.6142
S: 0.0000 0.2330 0.6142
S: 0.2341 0.5000 0.3626
S: 0.5000 0.2341 0.6374
S: 0.0000 0.7483 0.1228
S: 0.7304 0.5000 0.8831
S: 0.2696 0.5000 0.8831
In: 0.5000 0.7663 0.8745
In: 0.7420 0.0000 0.6373
In: 0.0000 0.2580 0.3627
In: 0.0000 0.5000 0.7502
In: 0.0000 0.7420 0.3627
In: 0.5000 0.0000 0.2498
In: 0.7663 0.5000 0.1255
In: 0.2337 0.5000 0.1255
In: 0.2580 0.0000 0.6373
In: 0.5000 0.2337 0.8745
Ag: 0.5000 0.5000 0.5000
Cu: 0.0000 0.0000 0.0000

***

A relaxed VRuPt2Rh2 crystal, computed with GGA-PBE.

## Properties
The formation energy is -0.1018 eV per atom.

abc: 5.4271 4.2950 7.5825
angles: 90.01 90.00 90.00
Atoms (fractional coordinates):
Rh: 0.2500 0.2501 0.5834
Rh: 0.7500 0.2499 0.6017
Rh: 0.7500 0.7499 0.4166
Rh: 0.2500 0.7501 0.3983
V: 0.2500 0.7500 0.0804
V: 0.7500 0.2500 0.9196
Ru: 0.7500 0.7501 0.0825
Ru: 0.2500 0.2499 0.9175
Pt: 0.4973 0.2501 0.2322
Pt: 0.9973 0.7499 0.7678
Pt: 0.0027 0.2501 0.2322
Pt: 0.5027 0.7499 0.7678

***

A relaxed SrPbF6 crystal, computed with GGA-PBE.

## Properties
The calculation puts the uncorrected formation energy at -2.482 eV/atom.

abc: 5.4595 5.4595 8.5931
angles: 90.00 90.00 90.00
Last column: magnetic moment on the atom in μB.
Atoms (fractional coordinates):
F: 0.7694 0.7694 0.7500  0.00
F: 0.0000 0.5000 0.5000  0.08
F: 0.5000 0.5000 0.5000  0.00
F: 0.2306 0.2306 0.2500  0.00
F: 0.7694 0.7694 0.2500  0.00
F: 0.2306 0.2306 0.7500  0.00
F: 0.7694 0.2306 0.7500  0.00
F: 0.2306 0.7694 0.2500  0.00
F: 0.5000 0.5000 0.0000  0.00
F: 0.2306 0.7694 0.7500  0.00
F: 0.5000 0.0000 0.0000  0.08
F: 0.7694 0.2306 0.2500  0.00
Sr: 0.0000 0.0000 0.5000  0.00
Sr: 0.0000 0.0000 0.0000  0.00
Pb: 0.5000 0.5000 0.2500  0.00
Pb: 0.5000 0.5000 0.7500  0.00

***

A relaxed SrLiAsPd6 crystal, computed with GGA-PBE.

## Properties
The formation energy is -0.2353 eV per atom.

abc: 5.7075 9.5087 8.4410
angles: 124.28 109.76 90.00
Atoms (fractional coordinates):
Pd: 0.9016 0.6650 0.2884
Pd: 0.9016 0.1234 0.2884
Pd: 0.4402 0.6902 0.8803
Pd: 0.9316 0.1816 0.8633
Pd: 0.5598 0.3098 0.1197
Pd: 0.0984 0.3350 0.7116
Pd: 0.3868 0.1234 0.2884
Pd: 0.6132 0.8766 0.7116
Pd: 0.6132 0.3350 0.7116
Pd: 0.0984 0.8766 0.7116
Pd: 0.0684 0.8184 0.1367
Pd: 0.3868 0.6650 0.2884
Li: 0.0000 0.0000 0.5000
Li: 0.5000 0.0000 0.5000
As: 0.5000 0.0000 0.0000
As: 0.5000 0.5000 0.0000
Sr: 0.8300 0.5800 0.6600
Sr: 0.1700 0.4200 0.3400

***

| no. | raw total energy (eV/atom) | total magnetic moment (μB/cell) |
| --- | --- | --- |
| 1 | -3.95 | 0.00 |
| 2 | -4.73 | 0.00 |
| 3 | -4.11 | 0.00 |
| 4 | -7.63 | 0.00 |
| 5 | -4.56 | 0.18 |
| 6 | -4.61 | 0.00 |